Density functional theory data (GGA-PBE) for a relaxed structure of Sc2AlInH.

The structure in extended XYZ format:
```
5
Lattice="4.3822 0.0000 0.0000 0.0000 4.3822 0.0000 0.0000 0.0000 4.3861" Properties=species:S:1:pos:R:3 pbc="T T T"
Sc 0.0000 2.1911 0.0000
Sc 2.1911 0.0000 0.0000
Al 0.0000 0.0000 2.1931
In 2.1911 2.1911 2.1931
H 0.0000 0.0000 0.0000
```

The space group is No. 123. The calculated total energy comes out at -4.832 eV/atom. The calculation puts the total magnetic moment at 1.0 μB/cell. Its volume is 84.2 Å³ per cell. Its density of states at the Fermi level is 2.448 states/eV/f.u.